LiYAlZn | GGA-PBE | optimized geometry

a b c (Å): 4.6931 4.6931 4.6931
angles (deg): 60.00 60.00 60.00
Atoms (fractional coordinates):
Li 0.0000 0.0000 0.0000
Y 0.2500 0.2500 0.2500
Al 0.7500 0.7500 0.7500
Zn 0.5000 0.5000 0.5000

## Properties
* size of the total moment: 0.00 μB/cell
* energy of formation: -0.3038 eV/atom
* mass density: 4.277 g cm⁻³